# 1
# Sr3Ga2Cl2O5

A relaxed Sr3Ga2Cl2O5 crystal (PBEsol, Alexandria).

a b c (Å): 9.5205 9.5265 9.5454
angles (deg): 90.00 90.00 90.00
Space group P2_12_12_1 (No. 19)
Unique sites:
1 Sr 0.0031 0.2243 0.0829 x4
2 Sr 0.0810 0.9559 0.7561 x4
3 Sr 0.2253 0.5834 0.0128 x4
4 Ga 0.0950 0.8927 0.0953 x4
5 Ga 0.1033 0.0896 0.3953 x4
6 Cl 0.1718 0.2647 0.8147 x4
7 Cl 0.2137 0.6566 0.7021 x4
8 O 0.0108 0.9673 0.5081 x4
9 O 0.0324 0.4872 0.5110 x4
10 O 0.0336 0.7203 0.1607 x4
11 O 0.1614 0.0243 0.2204 x4
12 O 0.2333 0.8378 0.9680 x4

Spin magnetization in μB/f.u.: 0.00
Formation energy (no corrections) in eV/atom: -2.45
Final energy in eV per atom: -5.98

# 2
# GaP2PtCl

A relaxed GaP2PtCl crystal (PBEsol, Alexandria).

a b c (Å): 4.4207 4.4207 6.8091
angles (deg): 90.00 90.00 90.00
Space group P4/mmm (No. 123)
Unique sites:
1 Ga 0.0000 0.0000 0.0000 x1
2 P 0.0000 0.5000 0.5000 x2
3 Pt 0.5000 0.5000 0.5000 x1
4 Cl 0.5000 0.5000 0.0000 x1

Spin magnetization in μB/f.u.: 0.00
Formation energy (no corrections) in eV/atom: 0.40
Final energy in eV per atom: -4.38

# 3
# GaPSCl2

A relaxed GaPSCl2 crystal (PBEsol, Alexandria).

a b c (Å): 5.3437 5.3437 4.1880
angles (deg): 90.00 90.00 90.00
Space group P4/mmm (No. 123)
Unique sites:
1 Ga 0.0000 0.0000 0.0000 x1
2 P 0.5000 0.5000 0.0000 x1
3 S 0.5000 0.5000 0.5000 x1
4 Cl 0.0000 0.5000 0.5000 x2

Spin magnetization in μB/f.u.: 0.00
Formation energy (no corrections) in eV/atom: 0.32
Final energy in eV per atom: -3.19

# 4
# GaSbP2Cl

A relaxed GaSbP2Cl crystal (PBEsol, Alexandria).

a b c (Å): 5.0208 5.0208 5.2819
angles (deg): 90.00 90.00 90.00
Space group P4/mmm (No. 123)
Unique sites:
1 Ga 0.0000 0.0000 0.0000 x1
2 Sb 0.5000 0.5000 0.5000 x1
3 P 0.0000 0.5000 0.5000 x2
4 Cl 0.5000 0.5000 0.0000 x1

Spin magnetization in μB/f.u.: 0.05
Formation energy (no corrections) in eV/atom: 0.64
Final energy in eV per atom: -3.65

# 5
# GaSnPCl2

A relaxed GaSnPCl2 crystal (PBEsol, Alexandria).

a b c (Å): 5.2047 5.2047 5.0439
angles (deg): 90.00 90.00 90.00
Space group P4/mmm (No. 123)
Unique sites:
1 Ga 0.0000 0.0000 0.0000 x1
2 Sn 0.5000 0.5000 0.5000 x1
3 P 0.5000 0.5000 0.0000 x1
4 Cl 0.0000 0.5000 0.5000 x2

Spin magnetization in μB/f.u.: 0.80
Formation energy (no corrections) in eV/atom: 0.01
Final energy in eV per atom: -3.47

# 6
# TlGaPCl2

A relaxed TlGaPCl2 crystal (PBEsol, Alexandria).

a b c (Å): 5.3982 5.3982 5.0976
angles (deg): 90.00 90.00 90.00
Space group P4/mmm (No. 123)
Unique sites:
1 Tl 0.0000 0.0000 0.0000 x1
2 Ga 0.5000 0.5000 0.5000 x1
3 P 0.0000 0.0000 0.5000 x1
4 Cl 0.0000 0.5000 0.0000 x2

Spin magnetization in μB/f.u.: 1.39
Formation energy (no corrections) in eV/atom: 0.18
Final energy in eV per atom: -2.97
E above lowest polymorph in eV/atom: 0.444